Entry 1:
Entry from Alexandria via LeMat-Bulk: a geometry-optimized Te2Pb4Se structure (PBE).

a = 5.701 Å, b = 5.701 Å, c = 16.323 Å
α = 90.00°, β = 90.00°, γ = 90.00°
Positions (direct):
1 Te 0.000 0.000 0.124
2 Te 0.000 0.000 0.876
3 Te 0.500 0.500 0.376
4 Te 0.500 0.500 0.624
5 Pb 0.000 0.000 0.316
6 Pb 0.000 0.000 0.684
7 Pb 0.000 0.500 0.000
8 Pb 0.000 0.500 0.500
9 Pb 0.500 0.000 0.000
10 Pb 0.500 0.000 0.500
11 Pb 0.500 0.500 0.184
12 Pb 0.500 0.500 0.816
13 Se 0.000 0.000 0.500
14 Se 0.500 0.500 0.000

Calculated values
Space group   I4/mmm
E_form (uncorrected)   0.0 eV/f.u.
E_tot   -3.51 eV per atom


Entry 2:
Entry from Alexandria via LeMat-Bulk: a geometry-optimized TePbSe2 structure (PBE).

a = 4.345 Å, b = 4.371 Å, c = 6.071 Å
α = 90.00°, β = 90.46°, γ = 90.00°
Positions (direct):
1 Te 0.000 0.000 0.000
2 Pb 0.500 0.500 0.500
3 Se 0.000 0.000 0.500
4 Se 0.500 0.500 0.000

Calculated values
Offset from the most stable computed form   0 meV/atom
Space group   P2/m
E_form (uncorrected)   -0.9 eV/f.u.
E_tot   -3.68 eV per atom


Entry 3:
Entry from Alexandria via LeMat-Bulk: a geometry-optimized TePbSe2 structure (PBE).

a = 4.319 Å, b = 5.009 Å, c = 5.824 Å
α = 90.00°, β = 104.42°, γ = 90.00°
Positions (direct):
1 Te 0.000 0.000 0.000
2 Pb 0.517 0.500 0.428
3 Se 0.757 0.500 0.967
4 Se 0.950 0.000 0.497

Calculated values
Offset from the most stable computed form   33 meV/atom
Space group   Pm
E_form (uncorrected)   -0.8 eV/f.u.
E_tot   -3.65 eV per atom